# 1
This record from Alexandria via LeMat-Bulk describes a PBEsol-optimized structure of KPb7. The functional is meta-GGA SCAN.

a = 6.9770 Å, b = 6.9770 Å, c = 6.9770 Å
α = 60.00°, β = 60.00°, γ = 60.00°
Last column: nearest neighbours and their distance in Å.
Atoms (fractional coordinates):
K 0.0000 0.0000 0.0000  12 Pb 3.49
Pb 0.0000 0.0000 0.5000  10 Pb 3.49, 2 K 3.49
Pb 0.0000 0.5000 0.0000  10 Pb 3.49, 2 K 3.49
Pb 0.0000 0.5000 0.5000  10 Pb 3.49, 2 K 3.49
Pb 0.5000 0.0000 0.0000  10 Pb 3.49, 2 K 3.49
Pb 0.5000 0.0000 0.5000  10 Pb 3.49, 2 K 3.49
Pb 0.5000 0.5000 0.0000  10 Pb 3.49, 2 K 3.49
Pb 0.5000 0.5000 0.5000  12 Pb 3.49

Properties
**E_form**: -0.08 eV/atom

=====

# 2
This record from Alexandria via LeMat-Bulk describes a PBEsol-optimized structure of Zr2ZnIn. The functional is meta-GGA SCAN.

a = 5.1586 Å, b = 5.1586 Å, c = 3.0812 Å
α = 90.00°, β = 90.00°, γ = 107.56°
Last column: nearest neighbours and their distance in Å.
Atoms (fractional coordinates):
Zr 0.0000 0.5000 0.0000  4 In 3.00, 4 Zn 3.00, 4 Zr 3.05-3.08
Zr 0.5000 0.0000 0.0000  4 In 3.00, 4 Zn 3.00, 4 Zr 3.05-3.08
Zn 0.0000 0.0000 0.5000  8 Zr 3.00, 2 In 3.05, 2 Zn 3.08
In 0.5000 0.5000 0.5000  8 Zr 3.00, 2 Zn 3.05, 2 In 3.08

Properties
**E_form**: -0.37 eV/atom

=====

# 3
This record from Alexandria via LeMat-Bulk describes a PBEsol-optimized structure of BeMoBr. The functional is meta-GGA SCAN.

a = 6.4381 Å, b = 6.4381 Å, c = 6.4381 Å
α = 153.66°, β = 153.66°, γ = 37.60°
Last column: nearest neighbours and their distance in Å.
Atoms (fractional coordinates):
Be 0.0000 0.0000 0.0000  4 Mo 2.48
Mo 0.3878 0.3878 0.0000  4 Be 2.48, 4 Br 2.69
Br 0.7470 0.7470 0.0000  4 Mo 2.69, 4 Br 2.93

Properties
**Distance to the lowest polymorph of the same formula**: 0.024 eV per atom
**Formation energy from raw total energies**: 0.611 eV/atom

=====

# 4
This record from Alexandria via LeMat-Bulk describes a PBEsol-optimized structure of Y3PbC. The functional is meta-GGA SCAN.

a = 4.8564 Å, b = 4.8564 Å, c = 4.8564 Å
α = 90.00°, β = 90.00°, γ = 90.00°
Last column: nearest neighbours and their distance in Å.
Atoms (fractional coordinates):
Y 0.0000 0.0000 0.5000  2 C 2.43
Y 0.0000 0.5000 0.0000  2 C 2.43
Y 0.5000 0.0000 0.0000  2 C 2.43
Pb 0.5000 0.5000 0.5000  12 Y 3.43
C 0.0000 0.0000 0.0000  6 Y 2.43

Properties
**E_form**: -0.78 eV/atom

=====

# 5
This record from Alexandria via LeMat-Bulk describes a PBEsol-optimized structure of LaYSb2. The functional is meta-GGA SCAN.

a = 4.4517 Å, b = 4.4517 Å, c = 6.2811 Å
α = 90.00°, β = 90.00°, γ = 90.00°
Last column: nearest neighbours and their distance in Å.
Atoms (fractional coordinates):
La 0.0000 0.0000 0.0000  6 Sb 3.14-3.15
Y 0.5000 0.5000 0.5000  6 Sb 3.14-3.15
Sb 0.0000 0.0000 0.5000  2 La 3.14, 4 Y 3.15
Sb 0.5000 0.5000 0.0000  2 Y 3.14, 4 La 3.15

Properties
**Distance to the lowest polymorph of the same formula**: 0.030 eV per atom
**Formation energy from raw total energies**: -1.327 eV/atom

=====

# 6
This record from Alexandria via LeMat-Bulk describes a PBEsol-optimized structure of GaFeHgN2. The functional is meta-GGA SCAN.

a = 4.0914 Å, b = 4.0914 Å, c = 5.3514 Å
α = 90.00°, β = 90.00°, γ = 90.00°
Last column: nearest neighbours and their distance in Å.
Atoms (fractional coordinates):
Ga 0.0000 0.0000 0.0000  2 Hg 2.68, 4 Fe 2.89
Fe 0.5000 0.5000 0.0000  4 Ga 2.89
Hg 0.0000 0.0000 0.5000  4 N 2.05
N 0.0000 0.5000 0.5000  2 Hg 2.05
N 0.5000 0.0000 0.5000  2 Hg 2.05

Properties
**Formation energy from raw total energies**: 2.151 eV/atom

=====

# 7
This record from Alexandria via LeMat-Bulk describes a PBEsol-optimized structure of TiSO5. The functional is meta-GGA SCAN.

a = 7.3686 Å, b = 7.3686 Å, c = 9.5075 Å
α = 90.12°, β = 90.12°, γ = 139.05°
Last column: nearest neighbours and their distance in Å.
Atoms (fractional coordinates):
Ti 0.0000 0.5000 0.5000  6 O 1.86-2.00
Ti 0.0878 0.9122 0.7500  2 O 1.78
Ti 0.5000 0.0000 0.0000  6 O 1.86-2.00
Ti 0.9122 0.0878 0.2500  2 O 1.78
S 0.1397 0.3562 0.9343  4 O 1.45-1.50
S 0.3562 0.1397 0.4343  4 O 1.45-1.50
S 0.6438 0.8603 0.5657  4 O 1.45-1.50
S 0.8603 0.6438 0.0657  4 O 1.45-1.50
O 0.0289 0.3703 0.3440  2 Ti 1.78-1.86
O 0.1375 0.7683 0.0910  1 S 1.50
O 0.1560 0.2965 0.0800  1 S 1.49
O 0.1896 0.2516 0.8316  1 S 1.45
O 0.2317 0.8625 0.4091  1 S 1.50
O 0.2516 0.1896 0.3316  1 S 1.45
O 0.2965 0.1560 0.5800  1 S 1.49
O 0.3412 0.6468 0.5841  1 S 1.48
O 0.3532 0.6588 0.9159  1 S 1.48
O 0.3703 0.0289 0.8440  2 Ti 1.78-1.86
O 0.6297 0.9711 0.1560  2 Ti 1.78-1.86
O 0.6468 0.3412 0.0841  1 S 1.48
O 0.6588 0.3532 0.4159  1 S 1.48
O 0.7035 0.8440 0.4200  1 S 1.49
O 0.7484 0.8104 0.6684  1 S 1.45
O 0.7683 0.1375 0.5910  1 S 1.50
O 0.8104 0.7484 0.1684  1 S 1.45
O 0.8440 0.7035 0.9200  1 S 1.49
O 0.8625 0.2317 0.9090  1 S 1.50
O 0.9711 0.6297 0.6560  2 Ti 1.78-1.86

Properties
**Distance to the lowest polymorph of the same formula**: 0.000 eV per atom
**Formation energy from raw total energies**: -2.292 eV/atom

=====

# 8
This record from Alexandria via LeMat-Bulk describes a PBEsol-optimized structure of In2RePb. The functional is meta-GGA SCAN.

a = 7.3304 Å, b = 7.3304 Å, c = 7.3304 Å
α = 156.87°, β = 142.26°, γ = 44.73°
Last column: nearest neighbours and their distance in Å.
Atoms (fractional coordinates):
In 0.0000 0.0000 0.0000  4 Re 2.79, 2 In 2.94
In 0.6790 0.1790 0.5000  2 Re 2.83, 2 In 2.94
Re 0.5005 0.5005 0.0000  6 In 2.79-2.83, 2 Re 2.94, 2 Pb 2.95
Pb 0.3121 0.8121 0.5000  2 Pb 2.94, 2 Re 2.95

Properties
**Distance to the lowest polymorph of the same formula**: 0.000 eV per atom
**E_form**: 0.41 eV/atom